Cs2GaCuH after structural relaxation. Source: Alexandria via LeMat-Bulk, functional GGA-PBE.

Computed properties:
total energy: -10.53 eV/cell
D(E_F): 0.538 states/eV per atom

a b c (Å): 6.8627 6.8627 4.6061
angles (deg): 90.00 90.00 90.00
Space group P4/mmm (No. 123)
Asymmetric unit:
Cs (0.0000, 0.5000, 0.0000) x2
Ga (0.0000, 0.0000, 0.0000) x1
Cu (0.0000, 0.0000, 0.5000) x1
H (0.5000, 0.5000, 0.5000) x1